(1)
LiZnP2: optimized geometry, PBEsol.

Summary:
spin magnetization = 0.00 μB/f.u.
space-group type = No. 38
formation energy from the elements = -0.117 eV/atom

a b c (Å): 2.514 3.904 6.837
angles (deg): 90.00 100.61 90.00
Positions (direct):
Li: 0.788 0.500 0.950
Zn: 0.550 0.000 0.477
P: 0.453 0.500 0.280
P: 0.209 0.000 0.793


(2)
ZnPt2Rh: optimized geometry, PBEsol.

Summary:
spin magnetization = 0.00 μB/f.u.
space-group type = No. 25
formation energy from the elements = -0.245 eV/atom

a b c (Å): 2.728 4.475 4.645
angles (deg): 90.00 90.00 90.00
Positions (direct):
Pt: 0.000 0.000 0.059
Zn: 0.500 0.500 0.194
Pt: 0.000 0.500 0.685
Rh: 0.500 0.000 0.562


(3)
GaNi3: optimized geometry, PBEsol.

Summary:
spin magnetization = 0.00 μB/f.u.
space-group type = No. 139
formation energy from the elements = -0.307 eV/atom

a b c (Å): 3.621 3.621 4.210
angles (deg): 115.47 115.47 90.00
Positions (direct):
Ga: 0.000 0.000 0.000
Ni: 0.250 0.750 0.500
Ni: 0.750 0.250 0.500
Ni: 0.500 0.500 0.000


(4)
RbInF3: optimized geometry, PBEsol.

Summary:
spin magnetization = 0.00 μB/f.u.
space-group type = No. 225
formation energy without anion corrections = -238 kJ per mole of atoms

a b c (Å): 6.513 6.513 6.513
angles (deg): 60.00 60.00 60.00
Positions (direct):
In: 0.000 0.000 0.000
F: 0.273 0.273 0.727
F: 0.727 0.273 0.727
In: 0.500 0.500 0.500
F: 0.727 0.273 0.273
F: 0.273 0.727 0.273
Rb: 0.250 0.250 0.250
Rb: 0.750 0.750 0.750
F: 0.273 0.727 0.727
F: 0.727 0.727 0.273


What did the second record say?
ZnPt2Rh: optimized geometry, PBEsol.

Summary:
spin magnetization = 0.00 μB/f.u.
space-group type = No. 25
formation energy from the elements = -0.245 eV/atom

a b c (Å): 2.728 4.475 4.645
angles (deg): 90.00 90.00 90.00
Positions (direct):
Pt: 0.000 0.000 0.059
Zn: 0.500 0.500 0.194
Pt: 0.000 0.500 0.685
Rh: 0.500 0.000 0.562